Arrangement w

Material: Rh2WCl
Method: DFT, PBE
State: optimized geometry

```
Rh2WCl
1.0
4.736 0.000 0.000
0.000 4.736 0.000
0.000 0.000 2.794
Rh W Cl
2 1 1
Direct
0.000 0.500 0.000
0.500 0.000 0.000
0.000 0.000 0.500
0.500 0.500 0.500
```

Values from the calculation:
Crystal system: tetragonal
Theoretical density in g cm⁻³: 11.3


Arrangement x

Material: Rh2WCl
Method: DFT, PBE
State: optimized geometry

```
Rh2WCl
1.0
0.000 3.107 3.107
3.107 0.000 3.107
3.107 3.107 0.000
Rh W Cl
2 1 1
Direct
0.000 0.000 0.000
0.250 0.250 0.250
0.500 0.500 0.500
0.750 0.750 0.750
```

Values from the calculation:
Crystal system: cubic
Theoretical density in g cm⁻³: 11.8


Stability ranking, top and bottom: arrangement x is the most stable and arrangement w is the least stable.